16
Lattice="6.3462 0.0000 0.0000 0.0000 6.3462 0.0000 0.0000 0.0000 6.3462" Properties=species:S:1:pos:R:3 comment="ScFeCuSn (PBE, relaxed)" m_tot_mub_per_cell=8.62 de_polymorph_ev_per_atom=0.117 spacegroup="F-43m, No. 216" final_energy_ev_per_fu=-22.63 pbc="T T T"
Sc 0.0000 0.0000 0.0000
Sc 0.0000 3.1731 3.1731
Sc 3.1731 0.0000 3.1731
Sc 3.1731 3.1731 0.0000
Fe 0.0000 0.0000 3.1731
Fe 0.0000 3.1731 0.0000
Fe 3.1731 0.0000 0.0000
Fe 3.1731 3.1731 3.1731
Cu 1.5865 1.5865 4.7596
Cu 1.5865 4.7596 1.5865
Cu 4.7596 1.5865 1.5865
Cu 4.7596 4.7596 4.7596
Sn 1.5865 1.5865 1.5865
Sn 1.5865 4.7596 4.7596
Sn 4.7596 1.5865 4.7596
Sn 4.7596 4.7596 1.5865



2
Lattice="3.0236 0.0000 0.0000 -1.5118 2.6185 0.0000 0.0000 0.0000 5.1968" Properties=species:S:1:pos:R:3 comment="ErW (PBE, relaxed)" m_tot_mub_per_cell=0.01 de_polymorph_ev_per_atom=0.000 spacegroup="P-6m2, No. 187" formation_energy_ev_per_atom=0.77 final_energy_ev_per_fu=-15.99 pbc="T T T"
Er 0.0000 0.0000 0.0000
W 1.5118 0.8728 2.5984



16
Lattice="6.6982 0.0000 0.0000 0.0000 6.6982 0.0000 0.0000 0.0000 6.6982" Properties=species:S:1:pos:R:3 comment="YCoSbIr (PBE, relaxed)" m_tot_mub_per_cell=8.03 de_polymorph_ev_per_atom=0.378 spacegroup="F-43m, No. 216" final_energy_ev_per_fu=-26.36 pbc="T T T"
Y 0.0000 0.0000 0.0000
Y 0.0000 3.3491 3.3491
Y 3.3491 0.0000 3.3491
Y 3.3491 3.3491 0.0000
Co 0.0000 0.0000 3.3491
Co 0.0000 3.3491 0.0000
Co 3.3491 0.0000 0.0000
Co 3.3491 3.3491 3.3491
Sb 1.6746 1.6746 1.6746
Sb 1.6746 5.0237 5.0237
Sb 5.0237 1.6746 5.0237
Sb 5.0237 5.0237 1.6746
Ir 1.6746 1.6746 5.0237
Ir 1.6746 5.0237 1.6746
Ir 5.0237 1.6746 1.6746
Ir 5.0237 5.0237 5.0237



16
Lattice="7.0398 0.0000 0.0000 0.0000 7.0398 0.0000 0.0000 0.0000 7.0398" Properties=species:S:1:pos:R:3 comment="Y2CuGe (PBE, relaxed)" m_tot_mub_per_cell=0.71 spacegroup="F-43m, No. 216" final_energy_ev_per_fu=-20.62 pbc="T T T"
Y 0.0000 0.0000 0.0000
Y 0.0000 3.5199 3.5199
Y 1.7600 1.7600 1.7600
Y 1.7600 5.2799 5.2799
Y 3.5199 0.0000 3.5199
Y 3.5199 3.5199 0.0000
Y 5.2799 1.7600 5.2799
Y 5.2799 5.2799 1.7600
Cu 1.7600 1.7600 5.2799
Cu 1.7600 5.2799 1.7600
Cu 5.2799 1.7600 1.7600
Cu 5.2799 5.2799 5.2799
Ge 0.0000 0.0000 3.5199
Ge 0.0000 3.5199 0.0000
Ge 3.5199 0.0000 0.0000
Ge 3.5199 3.5199 3.5199



16
Lattice="6.3233 0.0000 0.0000 0.0000 6.3233 0.0000 0.0000 0.0000 6.3233" Properties=species:S:1:pos:R:3 comment="TaFeCuSb (PBE, relaxed)" m_tot_mub_per_cell=7.01 de_polymorph_ev_per_atom=0.164 spacegroup="F-43m, No. 216" final_energy_ev_per_fu=-26.51 pbc="T T T"
Ta 0.0000 0.0000 0.0000
Ta 0.0000 3.1617 3.1617
Ta 3.1617 0.0000 3.1617
Ta 3.1617 3.1617 0.0000
Fe 0.0000 0.0000 3.1617
Fe 0.0000 3.1617 0.0000
Fe 3.1617 0.0000 0.0000
Fe 3.1617 3.1617 3.1617
Cu 1.5808 1.5808 4.7425
Cu 1.5808 4.7425 1.5808
Cu 4.7425 1.5808 1.5808
Cu 4.7425 4.7425 4.7425
Sb 1.5808 1.5808 1.5808
Sb 1.5808 4.7425 4.7425
Sb 4.7425 1.5808 4.7425
Sb 4.7425 4.7425 1.5808



10
Lattice="1.6138 -6.3388 0.0000 1.6138 6.3388 0.0000 0.0000 0.0000 7.4022" Properties=species:S:1:pos:R:3 comment="CsPtO3 (PBE, relaxed)" m_tot_mub_per_cell=2.00 spacegroup="Cmcm, No. 63" final_energy_ev_per_fu=-25.33 pbc="T T T"
Cs 1.6138 3.1643 5.5517
Cs 1.6138 -3.1643 1.8506
Pt 0.0000 0.0000 0.0000
Pt 0.0000 0.0000 3.7011
O 1.6138 5.5981 1.8506
O 1.6138 1.1840 0.3755
O 1.6138 1.1840 3.3256
O 1.6138 -1.1840 4.0766
O 1.6138 -1.1840 7.0267
O 1.6138 -5.5981 5.5517



8
Lattice="4.2798 0.0000 0.0000 0.0000 4.2798 0.0000 0.0000 0.0000 8.4901" Properties=species:S:1:pos:R:3 comment="NdGaAsO (PBE, relaxed)" m_tot_mub_per_cell=0.01 de_polymorph_ev_per_atom=0.000 spacegroup="P4/nmm, No. 129" final_energy_ev_per_fu=-23.77 pbc="T T T"
Nd 1.0699 1.0699 1.0128
Nd 3.2098 3.2098 7.4773
Ga 1.0699 3.2098 4.2450
Ga 3.2098 1.0699 4.2450
As 1.0699 1.0699 5.7147
As 3.2098 3.2098 2.7753
O 1.0699 3.2098 0.0000
O 3.2098 1.0699 0.0000



10
Lattice="0.0000 3.8835 3.8835 3.8835 0.0000 3.8835 3.8835 3.8835 0.0000" Properties=species:S:1:pos:R:3 comment="Sr2ScNiH6 (PBE, relaxed)" m_tot_mub_per_cell=1.55 spacegroup="Fm-3m, No. 225" final_energy_ev_per_fu=-38.16 pbc="T T T"
Sr 1.9417 1.9417 1.9417
Sr 5.8252 5.8252 5.8252
Sc 0.0000 0.0000 0.0000
Ni 3.8835 3.8835 3.8835
H 3.8835 3.8835 2.0915
H 3.8835 2.0915 3.8835
H 5.6754 3.8835 3.8835
H 2.0915 3.8835 3.8835
H 3.8835 5.6754 3.8835
H 3.8835 3.8835 5.6754



6
Lattice="0.0000 6.5472 6.5472 6.5472 0.0000 6.5472 6.5472 6.5472 0.0000" Properties=species:S:1:pos:R:3 comment="Pr2Pa (PBE, relaxed)" m_tot_mub_per_cell=0.12 spacegroup="Fd-3m, No. 227" formation_energy_ev_per_atom=2.13 final_energy_ev_per_fu=-12.65 pbc="T T T"
Pr 0.0000 0.0000 0.0000
Pr 3.2736 3.2736 0.0000
Pr 3.2736 0.0000 3.2736
Pr 0.0000 3.2736 3.2736
Pa 1.6368 1.6368 1.6368
Pa 11.4577 11.4577 11.4577



8
Lattice="3.6984 0.0000 0.0000 -1.8492 3.2029 0.0000 0.0000 0.0000 12.8773" Properties=species:S:1:pos:R:3 comment="YHoCS (PBE, relaxed)" m_tot_mub_per_cell=0.02 spacegroup="P-6m2, No. 187" final_energy_ev_per_fu=-29.46 pbc="T T T"
Y 0.0000 0.0000 1.8813
Y 0.0000 0.0000 10.9960
Ho 1.8492 1.0676 4.5624
Ho 1.8492 1.0676 8.3149
C 0.0000 2.1353 3.2331
C 0.0000 2.1353 9.6443
S 0.0000 0.0000 6.4387
S 1.8492 1.0676 0.0000



12
Lattice="2.0188 -6.9287 0.0000 2.0188 6.9287 0.0000 0.0000 0.0000 10.4354" Properties=species:S:1:pos:R:3 comment="BaTmCuSeS2 (PBE, relaxed)" m_tot_mub_per_cell=0.01 spacegroup="Cmcm, No. 63" final_energy_ev_per_fu=-31.73 pbc="T T T"
Ba 2.0188 3.5494 7.8265
Ba 2.0188 -3.5494 2.6088
Tm 0.0000 0.0000 0.0000
Tm 0.0000 0.0000 5.2177
Cu 2.0188 0.4761 2.6088
Cu 2.0188 -0.4761 7.8265
Se 2.0188 5.9123 2.6088
Se 2.0188 -5.9123 7.8265
S 2.0188 1.7494 0.6577
S 2.0188 1.7494 4.5600
S 2.0188 -1.7494 5.8754
S 2.0188 -1.7494 9.7777



5
Lattice="4.0243 0.0000 0.0000 0.0000 4.0243 0.0000 0.0000 0.0000 4.7508" Properties=species:S:1:pos:R:3 comment="GdAlFe2C (PBE, relaxed)" m_tot_mub_per_cell=4.71 spacegroup="P4/mmm, No. 123" final_energy_ev_per_fu=-33.37 pbc="T T T"
Gd 0.0000 0.0000 0.0000
Al 2.0121 2.0121 0.0000
Fe 0.0000 2.0121 2.3754
Fe 2.0121 0.0000 2.3754
C 0.0000 0.0000 2.3754